{
  "formula": "LaYMg2",
  "functional": "PBE-GGA",
  "state": "relaxed",
  "lattice_angstrom": [[-1.780, -0.748, -3.344], [-1.216, -3.377, 1.403], [-7.736, 0.078, 4.102]],
  "species": ["Y", "Mg", "Mg", "La"],
  "fractional_positions": [[0.500, 0.250, 0.250], [0.000, 0.984, 0.016], [0.000, 0.516, 0.484], [0.500, 0.750, 0.750]],
  "e_form_mev_per_atom": -106,
  "total_magnetization_mub_per_fu": 0.0,
  "space_group": "P2/m"
}